# 1
## Ta2TcAg (PBE)

Data for crystalline Ta2TcAg at its relaxed geometry.

Cell and atoms, written as POSCAR:
```
Ta2TcAg
1.0
1.4176 0.8184 9.9528
-1.4176 0.8184 9.9528
0.0000 -1.6369 9.9528
Ta Tc Ag
2 1 1
direct
0.0000 0.0000 0.0000
0.2460 0.2460 0.2460
0.7462 0.7462 0.7462
0.4943 0.4943 0.4943
```

Computed properties:
final energy = -8.89 eV per atom
formation enthalpy at 0 K = 7.84 kcal/mol of atoms
volume = 17.320 A^3/atom
polymorph energy (0 for the lowest one) = 1.11 eV per formula unit
DOS(E_F) = 5.22 states/eV/f.u.

***

# 2
## Th2Mg3Hg4 (PBE)

Data for crystalline Th2Mg3Hg4 at its relaxed geometry.

Cell and atoms, written as POSCAR:
```
Th2Mg3Hg4
1.0
3.1858 -8.1825 0.0000
3.1858 8.1825 0.0000
0.0000 0.0000 8.4405
Th Mg Hg
4 6 8
direct
0.1070 0.8930 0.9089
0.3930 0.6070 0.4089
0.6070 0.3930 0.5911
0.8930 0.1070 0.0911
0.0000 0.0000 0.5000
0.0275 0.4725 0.7500
0.4725 0.0275 0.2500
0.5000 0.5000 0.0000
0.5275 0.9725 0.7500
0.9725 0.5275 0.2500
0.1793 0.8207 0.5363
0.1989 0.3011 0.7500
0.3011 0.1989 0.2500
0.3207 0.6793 0.0363
0.6793 0.3207 0.9637
0.6989 0.8011 0.7500
0.8011 0.6989 0.2500
0.8207 0.1793 0.4637
```

Computed properties:
final energy = -2.53 eV per atom
formation enthalpy at 0 K = -4.93 kcal/mol of atoms
volume = 24.447 A^3/atom
polymorph energy (0 for the lowest one) = 0.15 eV per formula unit
DOS(E_F) = 8.40 states/eV/f.u.

***

# 3
## Pm5Sm2Y12 (PBE)

Data for crystalline Pm5Sm2Y12 at its relaxed geometry.

Cell and atoms, written as POSCAR:
```
Pm5Sm2Y12
1.0
6.2323 0.0000 0.0000
3.1036 8.9857 0.0000
2.0850 0.7148 11.1587
Pm Sm Y
5 2 12
direct
0.0000 0.0000 0.0000
0.2100 0.4220 0.7364
0.4743 0.9479 0.1576
0.5257 0.0521 0.8424
0.7900 0.5780 0.2636
0.2631 0.5263 0.4216
0.7369 0.4737 0.5784
0.0531 0.1041 0.6835
0.1057 0.2102 0.3683
0.1581 0.3164 0.0525
0.3165 0.6308 0.1055
0.3685 0.7365 0.7892
0.4206 0.8430 0.4734
0.5794 0.1570 0.5266
0.6315 0.2635 0.2108
0.6835 0.3692 0.8945
0.8419 0.6836 0.9475
0.8943 0.7898 0.6317
0.9469 0.8959 0.3165
```

Computed properties:
final energy = -5.81 eV per atom
formation enthalpy at 0 K = 0.38 kcal/mol of atoms
volume = 32.890 A^3/atom
polymorph energy (0 for the lowest one) = 0.00 eV per formula unit
DOS(E_F) = 26.66 states/eV/f.u.

***

# 4
## CaHgMo2 (PBE)

Data for crystalline CaHgMo2 at its relaxed geometry.

Cell and atoms, written as POSCAR:
```
CaHgMo2
1.0
3.9912 0.0000 0.0000
0.0000 3.9912 0.0000
0.0000 0.0000 4.8779
Ca Hg Mo
1 1 2
direct
0.0000 0.0000 0.0000
0.5000 0.5000 0.0000
0.0000 0.5000 0.5000
0.5000 0.0000 0.5000
```

Computed properties:
final energy = -5.37 eV per atom
formation enthalpy at 0 K = 14.33 kcal/mol of atoms
volume = 19.426 A^3/atom
DOS(E_F) = 2.74 states/eV/f.u.